(1)
The following is a PBE calculation of a geometry-optimized ScAu3Se structure, from Alexandria.

Results
E_tot: -16.37 eV/cell
symmetry: No. 221
total magnetic moment: 0.00 μB/cell
energy above the lowest structure with this stoichiometry: 0.3167 eV/atom
uncorrected formation energy: 0.656 eV/atom

CIF file:
```
data_ScAu3Se
_chemical_formula_sum 'Sc1 Au3 Se1'
_cell_length_a 5.128
_cell_length_b 5.128
_cell_length_c 5.128
_cell_angle_alpha 90.00
_cell_angle_beta 90.00
_cell_angle_gamma 90.00
_space_group_name_H-M_alt 'P 1'
_space_group_IT_number 1
loop_
_space_group_symop_operation_xyz
'x,y,z'
loop_
_atom_site_label
_atom_site_type_symbol
_atom_site_fract_x
_atom_site_fract_y
_atom_site_fract_z
Sc1 Sc 0.000 0.000 0.000
Au1 Au 0.000 0.000 0.500
Au2 Au 0.000 0.500 0.000
Au3 Au 0.500 0.000 0.000
Se1 Se 0.500 0.500 0.500
```

=====

(2)
The following is a PBE calculation of a geometry-optimized Sc2AuSe structure, from Alexandria.

Results
E_tot: -48.43 eV/cell
symmetry: No. 63
total magnetic moment: 0.00 μB/cell
uncorrected formation energy: -1.197 eV/atom

CIF file:
```
data_Sc2AuSe
_chemical_formula_sum 'Sc4 Au2 Se2'
_cell_length_a 11.011
_cell_length_b 11.011
_cell_length_c 4.052
_cell_angle_alpha 90.00
_cell_angle_beta 90.00
_cell_angle_gamma 160.27
_space_group_name_H-M_alt 'P 1'
_space_group_IT_number 1
loop_
_space_group_symop_operation_xyz
'x,y,z'
loop_
_atom_site_label
_atom_site_type_symbol
_atom_site_fract_x
_atom_site_fract_y
_atom_site_fract_z
Sc1 Sc 0.067 0.933 0.750
Sc2 Sc 0.321 0.679 0.750
Sc3 Sc 0.679 0.321 0.250
Sc4 Sc 0.933 0.067 0.250
Au1 Au 0.452 0.548 0.750
Au2 Au 0.548 0.452 0.250
Se1 Se 0.193 0.807 0.750
Se2 Se 0.807 0.193 0.250
```

=====

(3)
The following is a PBE calculation of a geometry-optimized Sc2AuSe structure, from Alexandria.

Results
E_tot: -23.71 eV/cell
symmetry: No. 160
total magnetic moment: 0.00 μB/cell
uncorrected formation energy: -1.071 eV/atom

CIF file:
```
data_Sc2AuSe
_chemical_formula_sum 'Sc2 Au1 Se1'
_cell_length_a 7.540
_cell_length_b 7.540
_cell_length_c 7.540
_cell_angle_alpha 28.42
_cell_angle_beta 28.42
_cell_angle_gamma 28.42
_space_group_name_H-M_alt 'P 1'
_space_group_IT_number 1
loop_
_space_group_symop_operation_xyz
'x,y,z'
loop_
_atom_site_label
_atom_site_type_symbol
_atom_site_fract_x
_atom_site_fract_y
_atom_site_fract_z
Sc1 Sc 0.000 0.000 0.000
Sc2 Sc 0.165 0.165 0.165
Au1 Au 0.585 0.585 0.585
Se1 Se 0.414 0.414 0.414
```